DFT (PBE) results for a geometry-optimized TlFe structure.

Unit cell a=3.0225 b=3.0225 c=4.0623 alpha=90.00 beta=90.00 gamma=90.00
Closest atoms and distances in Å follow each position.
Positions (direct):
Fe 0.0000 0.0000 0.0000  8 Tl 2.95, 4 Fe 3.02
Tl 0.5000 0.5000 0.5000  8 Fe 2.95, 4 Tl 3.02

Values from the calculation:
DFT total energy = -0.173 hartree per atom
Formation energy = 0.714 eV/atom
SG = P4/mmm, No. 123

DFT (PBE) results for a geometry-optimized TlFe structure.

Unit cell a=4.7544 b=4.7544 c=4.7544 alpha=60.00 beta=60.00 gamma=60.00
Closest atoms and distances in Å follow each position.
Positions (direct):
Fe 0.2500 0.2500 0.2500  4 Tl 2.91, 4 Fe 2.91
Tl 0.5000 0.5000 0.5000  4 Fe 2.91, 4 Tl 2.91
Fe 0.0000 0.0000 0.0000  4 Tl 2.91, 4 Fe 2.91
Tl 0.7500 0.7500 0.7500  4 Tl 2.91, 4 Fe 2.91

Values from the calculation:
DFT total energy = -0.168 hartree per atom
Formation energy = 0.846 eV/atom
SG = Fd-3m, No. 227

DFT (PBE) results for a geometry-optimized Tl2Fe structure.

Unit cell a=6.4950 b=6.4950 c=6.4950 alpha=151.04 beta=148.91 gamma=43.00
Closest atoms and distances in Å follow each position.
Positions (direct):
Fe 0.0000 0.0000 0.0000  8 Tl 2.93, 2 Fe 3.25
Tl 0.3592 0.3592 0.0000  4 Fe 2.93, 2 Tl 3.25
Tl 0.6408 0.6408 0.0000  4 Fe 2.93, 2 Tl 3.25

Values from the calculation:
DFT total energy = -0.140 hartree per atom
Formation energy = 0.589 eV/atom
SG = Immm, No. 71

Question: Which of these has the highest DFT total energy?
Answer: Tl2Fe

Question: Which of these has the highest DFT total energy?
Answer: Tl2Fe